Here is a geometry-optimized Re2B2Au structure from Alexandria via LeMat-Bulk. Energies are from PBE-GGA.

E above lowest polymorph = 105 meV per atom

Structure (POSCAR):
```
Re2B2Au
1.0
3.812 0.000 0.000
0.000 3.812 0.000
1.906 1.906 4.363
Re B Au
2 2 1
Direct
0.750 0.250 0.500
0.250 0.750 0.500
0.399 0.399 0.201
0.601 0.601 0.799
0.000 0.000 0.000
```

Here is a geometry-optimized Ce3DyY2As6 structure from Alexandria via LeMat-Bulk. Energies are from PBE-GGA.

Raw total energy = -0.4968 Ry/atom

Structure (POSCAR):
```
Ce3DyY2As6
1.0
7.228 -0.001 0.000
-3.613 6.260 0.000
-1.206 -2.088 6.798
Ce Dy Y As
3 1 2 6
Direct
0.167 0.833 0.500
0.833 0.167 0.500
0.500 0.500 0.500
0.000 0.000 0.000
0.333 0.667 0.000
0.667 0.333 0.000
0.918 0.585 0.754
0.749 0.749 0.246
0.082 0.415 0.246
0.585 0.918 0.754
0.251 0.251 0.754
0.415 0.082 0.246
```

Here is a geometry-optimized In2CuBi2 structure from Alexandria via LeMat-Bulk. Energies are from PBE-GGA.

E above lowest polymorph = 192 meV per atom

Structure (POSCAR):
```
In2CuBi2
1.0
4.054 0.000 0.000
0.000 4.054 0.000
2.027 2.027 8.658
Bi Cu In
2 1 2
Direct
0.414 0.414 0.173
0.586 0.586 0.827
0.000 0.000 0.000
0.750 0.250 0.500
0.250 0.750 0.500
```

Here is a geometry-optimized Pr3Sm3Er2 structure from Alexandria via LeMat-Bulk. Energies are from PBE-GGA.

Raw total energy = -0.3402 Ry/atom

Structure (POSCAR):
```
Pr3Sm3Er2
1.0
5.806 0.000 0.000
0.000 6.053 -0.219
-2.903 -2.704 7.872
Pr Sm Er
3 3 2
Direct
0.865 0.307 0.729
0.135 0.693 0.271
0.000 0.000 0.000
0.366 0.919 0.731
0.500 0.500 0.000
0.634 0.081 0.269
0.750 0.682 0.499
0.250 0.318 0.501
```

Here is a geometry-optimized Zn4RuPt structure from Alexandria via LeMat-Bulk. Energies are from PBE-GGA.

Raw total energy = -0.2523 Ry/atom

Structure (POSCAR):
```
Zn4RuPt
1.0
-3.419 -3.312 1.221
-4.152 -0.322 -2.609
-0.790 -3.895 -2.890
Zn Ru Pt
4 1 1
Direct
0.876 0.375 0.375
0.375 0.375 0.876
0.375 0.876 0.375
0.375 0.375 0.375
0.000 0.000 0.000
0.750 0.750 0.750
```

Here is a geometry-optimized LaPrSCl structure from Alexandria via LeMat-Bulk. Energies are from PBE-GGA.

Formation energy (no corrections) = -1.749 eV/atom

Structure (POSCAR):
```
LaPrSCl
1.0
3.993 -0.001 0.000
-1.997 3.459 0.000
-1.995 -1.152 7.519
La Pr S Cl
1 1 1 1
Direct
0.493 0.144 0.653
0.115 0.956 0.086
0.304 0.550 0.870
0.965 0.381 0.361
```

Here is a geometry-optimized TlTeSCl2 structure from Alexandria via LeMat-Bulk. Energies are from PBE-GGA.

E above lowest polymorph = 0 meV per atom
Formation energy (no corrections) = -0.335 eV/atom

Structure (POSCAR):
```
TlTeSCl2
1.0
-3.909 1.260 3.528
3.275 -1.326 4.102
1.756 4.919 0.188
Tl Te S Cl
1 1 1 2
Direct
0.500 0.500 0.500
0.000 0.000 0.000
0.000 0.000 0.500
0.000 0.500 0.000
0.500 0.000 0.000
```

Here is a geometry-optimized Sc2TlPb structure from Alexandria via LeMat-Bulk. Energies are from PBE-GGA.

E above lowest polymorph = 71 meV per atom

Structure (POSCAR):
```
Sc2TlPb
1.0
0.000 3.646 3.646
3.646 0.000 3.646
3.646 3.646 0.000
Pb Sc Tl
1 2 1
Direct
0.500 0.500 0.500
0.250 0.250 0.250
0.750 0.750 0.750
0.000 0.000 0.000
```

Here is a geometry-optimized AsCl structure from Alexandria via LeMat-Bulk. Energies are from PBE-GGA.

Formation energy (no corrections) = 0.247 eV/atom

Structure (POSCAR):
```
AsCl
1.0
3.244 0.002 0.000
-1.691 2.769 0.000
0.000 0.000 4.501
As Cl
1 1
Direct
0.000 0.000 0.000
0.500 0.500 0.500
```

Here is a geometry-optimized NdHoTh2N4 structure from Alexandria via LeMat-Bulk. Energies are from PBE-GGA.

Formation energy (no corrections) = -1.559 eV/atom

Structure (POSCAR):
```
NdHoTh2N4
1.0
-0.265 3.594 -0.365
-5.803 -0.184 2.400
4.130 0.771 4.592
Nd Ho Th N
1 1 2 4
Direct
0.500 0.500 0.000
0.000 0.000 0.000
0.500 0.000 0.500
0.000 0.500 0.500
0.500 0.243 0.251
0.500 0.757 0.749
0.000 0.240 0.742
0.000 0.760 0.258
```

The records above yield density of states at the Fermi level values of 0.74; 1.41; 0.61; 1.61; 0.63; 0.73; 0.33; 1.07; 0.42; 0.36 states/eV per atom, respectively.